PBE Ac2TbCe, relaxed; mass density = 8.07 g/cm³; energy relative to the lowest polymorph listed for this composition = 0.166 eV per atom; E_form = 0.279 eV/atom; total magnetic moment = 1.54 μB/cell; E = -4.416 eV per atom
1.0
-1.8555 -2.7580 -1.6242
0.9203 -1.0903 -3.4135
8.1154 -9.9139 3.3496
Ac Tb Ce
2 1 1
Direct
0.9113 0.9113 0.2662
0.0887 0.0887 0.7338
0.5000 0.5000 0.5000
0.0000 0.0000 0.0000

=====

PBE ReRh2O6, relaxed; mass density = 8.13 g/cm³; total magnetic moment = 0.00 μB/cell; E = -7.399 eV per atom; raw formation energy = -9.692 eV per formula unit
1.0
4.6147 0.0000 0.0000
0.0000 4.6147 0.0000
0.0000 0.0000 9.3644
O Re Rh
12 2 4
Direct
0.2018 0.7982 0.5000
0.8099 0.1901 0.8411
0.6901 0.6901 0.3411
0.7982 0.2018 0.5000
0.8099 0.1901 0.1589
0.3099 0.3099 0.6589
0.1901 0.8099 0.8411
0.7018 0.7018 0.0000
0.6901 0.6901 0.6589
0.3099 0.3099 0.3411
0.2982 0.2982 0.0000
0.1901 0.8099 0.1589
0.5000 0.5000 0.5000
0.0000 0.0000 0.0000
0.5000 0.5000 0.8331
0.0000 0.0000 0.6669
0.0000 0.0000 0.3331
0.5000 0.5000 0.1669

=====

PBE SrCu2Pt, relaxed; mass density = 9.23 g/cm³; energy relative to the lowest polymorph listed for this composition = 0.359 eV per atom; E_form = -0.015 eV/atom; total magnetic moment = 0.00 μB/cell; E = -3.994 eV per atom
1.0
-0.4907 -2.5360 4.5188
3.0349 -4.2254 0.1636
0.8976 4.9830 -1.2063
Cu Sr Pt
2 1 1
Direct
0.2500 0.7500 0.5000
0.0000 0.0000 0.0000
0.7500 0.2500 0.5000
0.5000 0.5000 0.0000

=====

> total magnetic moment of number 2 (ReRh2O6)?

0.00 μB/cell